A geometry-optimized Ac2TbGd structure. Source: Alexandria, functional PBE.

* energy above the most stable polymorph in this dataset: 0.058 eV/atom
* V: 153.2 Å³/cell
* ΔE_f: 95 meV per atom
* total DFT energy (no corrections): -26.55 eV for the cell shown
* ρ: 8347 kg/m³

```
Ac2TbGd
1.0
-5.9340 0.2325 0.8991
-2.2433 -0.9226 5.4947
-2.3950 4.5715 3.0725
Ac Gd Tb
2 1 1
Cartesian
-2.6431 0.9704 2.3666
-7.9293 2.9111 7.0997
-5.2862 1.9407 4.7331
0.0000 0.0000 0.0000
```